! SCAN RhIN2Cl, PBEsol geometry; values from VASP
&SYSTEM
  ibrav = 0, nat = 5, ntyp = 4
/
ATOMIC_SPECIES
Rh 102.91 Rh.upf
I 126.90 I.upf
N 14.01 N.upf
Cl 35.45 Cl.upf
CELL_PARAMETERS angstrom
3.678 0.000 0.000
0.000 3.678 0.000
0.000 0.000 6.556
ATOMIC_POSITIONS crystal
Rh 0.000 0.000 0.000
I 0.500 0.500 0.000
N 0.000 0.500 0.500
N 0.500 0.000 0.500
Cl 0.500 0.500 0.500
! Space group: P4/mmm (123)
! Final energy in eV/atom: -17.073
! Volume in Å³ per atom: 17.742